Computed, not measured: a relaxed structure of CeOsS at the PBE level of DFT.

Output
E_tot in eV per atom: -7.270
Raw formation energy in eV/atom: -0.173

Cell: 10.472 3.208 6.843 Å, 90.00 90.00 90.00°
Space group Amm2 (No. 38)
One atom of each set of equivalent atoms:
Ce  0.182  0.000  0.000 [4 per cell]
Os  0.000  0.000  0.265 [2 per cell]
Os  0.500  0.000  0.023 [2 per cell]
S  0.368  0.000  0.309 [4 per cell]